No. 1
# Sr3LiHo3Se8 | Alexandria via LeMat-Bulk | PBE | optimized geometry
data_Sr3LiHo3Se8
_space_group_name_H-M_alt 'R -3 m'
_space_group_IT_number 166
_space_group_name_Hall '-R 3 2"'
_cell_length_a 8.3380
_cell_length_b 8.3380
_cell_length_c 21.1919
_cell_angle_alpha 90.00
_cell_angle_beta 90.00
_cell_angle_gamma 120.00
loop_
_atom_site_label
_atom_site_type_symbol
_atom_site_fract_x
_atom_site_fract_y
_atom_site_fract_z
_atom_site_occupancy
Sr1 Sr 0.0000 0.5000 0.0000 1
Li1 Li 0.0000 0.0000 0.5000 1
Ho1 Ho 0.0000 0.5000 0.5000 1
Se1 Se 0.0000 0.0000 0.2429 1
Se2 Se 0.0039 0.5019 0.7593 1
# Formation energy without anion corrections = -1827 meV/atom



No. 2
# PmClF | Alexandria via LeMat-Bulk | PBE | optimized geometry
data_PmClF
_space_group_name_H-M_alt 'I 4 m m'
_space_group_IT_number 107
_space_group_name_Hall 'I 4 -2'
_cell_length_a 3.354
_cell_length_b 3.354
_cell_length_c 10.014
_cell_angle_alpha 90.00
_cell_angle_beta 90.00
_cell_angle_gamma 90.00
loop_
_atom_site_label
_atom_site_type_symbol
_atom_site_fract_x
_atom_site_fract_y
_atom_site_fract_z
_atom_site_occupancy
Pm1 Pm 0.000 0.000 0.000 1
Cl1 Cl 0.000 0.000 0.326 1
F1 F 0.000 0.000 0.603 1
# ΔE to the lowest computed polymorph = 0.193 eV/atom
# Formation energy without anion corrections = -2524 meV/atom
# Density of states at the Fermi level = 1.12 states/eV/f.u.



No. 3
# TcHg2Se2 | Alexandria via LeMat-Bulk | PBE | optimized geometry
data_TcHg2Se2
_space_group_name_H-M_alt 'P 4/m b m'
_space_group_IT_number 127
_space_group_name_Hall '-P 4 2ab'
_cell_length_a 6.244
_cell_length_b 6.244
_cell_length_c 6.839
_cell_angle_alpha 90.00
_cell_angle_beta 90.00
_cell_angle_gamma 90.00
loop_
_atom_site_label
_atom_site_type_symbol
_atom_site_fract_x
_atom_site_fract_y
_atom_site_fract_z
_atom_site_occupancy
Tc1 Tc 0.000 0.000 0.000 1
Hg1 Hg 0.248 0.252 0.500 1
Se1 Se 0.144 0.644 0.000 1
# ΔE to the lowest computed polymorph = 0.000 eV/atom
# Formation energy without anion corrections = 156 meV/atom
# Density of states at the Fermi level = 2.28 states/eV/f.u.



No. 4
# Sm2TaCrN5 | Alexandria via LeMat-Bulk | PBE | optimized geometry
data_Sm2TaCrN5
_space_group_name_H-M_alt 'C m c 21'
_space_group_IT_number 36
_space_group_name_Hall 'C 2c -2'
_cell_length_a 3.273
_cell_length_b 13.406
_cell_length_c 10.234
_cell_angle_alpha 90.00
_cell_angle_beta 90.00
_cell_angle_gamma 90.00
loop_
_atom_site_label
_atom_site_type_symbol
_atom_site_fract_x
_atom_site_fract_y
_atom_site_fract_z
_atom_site_occupancy
Sm1 Sm 0.000 0.112 0.000 1
Sm2 Sm 0.000 0.141 0.615 1
Ta1 Ta 0.000 0.213 0.323 1
Cr1 Cr 0.000 0.470 0.764 1
N1 N 0.000 0.042 0.343 1
N2 N 0.000 0.288 0.960 1
N3 N 0.000 0.321 0.690 1
N4 N 0.000 0.359 0.310 1
N5 N 0.000 0.494 0.098 1
# Formation energy without anion corrections = -1119 meV/atom
# Density of states at the Fermi level = 2.15 states/eV/f.u.



No. 5
# OsWI2N | Alexandria via LeMat-Bulk | PBE | optimized geometry
data_OsWI2N
_space_group_name_H-M_alt 'P 4/m m m'
_space_group_IT_number 123
_space_group_name_Hall '-P 4 2'
_cell_length_a 5.415
_cell_length_b 5.415
_cell_length_c 3.748
_cell_angle_alpha 90.00
_cell_angle_beta 90.00
_cell_angle_gamma 90.00
loop_
_atom_site_label
_atom_site_type_symbol
_atom_site_fract_x
_atom_site_fract_y
_atom_site_fract_z
_atom_site_occupancy
Os1 Os 0.000 0.000 0.000 1
W1 W 0.500 0.500 0.500 1
I1 I 0.000 0.500 0.500 1
N1 N 0.500 0.500 0.000 1
# ΔE to the lowest computed polymorph = 0.111 eV/atom
# Formation energy without anion corrections = 1543 meV/atom
# Density of states at the Fermi level = 7.83 states/eV/f.u.



No. 6
# Tb2ErSc | Alexandria via LeMat-Bulk | PBE | optimized geometry
data_Tb2ErSc
_space_group_name_H-M_alt 'R 3 m'
_space_group_IT_number 160
_space_group_name_Hall 'R 3 -2"'
_cell_length_a 3.5091
_cell_length_b 3.5091
_cell_length_c 33.4348
_cell_angle_alpha 90.00
_cell_angle_beta 90.00
_cell_angle_gamma 120.00
loop_
_atom_site_label
_atom_site_type_symbol
_atom_site_fract_x
_atom_site_fract_y
_atom_site_fract_z
_atom_site_occupancy
Tb1 Tb 0.0000 0.0000 0.0000 1
Tb2 Tb 0.0000 0.0000 0.1711 1
Er1 Er 0.0000 0.0000 0.4190 1
Sc1 Sc 0.0000 0.0000 0.5854 1
# ΔE to the lowest computed polymorph = 0.002 eV/atom
# Formation energy from the elements = 0.036 eV/atom
# Density of states at the Fermi level = 6.05 states/eV/f.u.